Here is an optimized crystal structure of Hf2CrMoF from the Alexandria database. Energies are from GGA+U.

a = 4.584 Å, b = 4.584 Å, c = 4.137 Å
α = 90.00°, β = 90.00°, γ = 90.00°
Fractional coordinates of all 5 atoms:
Hf 0.000 0.500 0.000
Hf 0.500 0.000 0.000
Cr 0.000 0.000 0.500
Mo 0.500 0.500 0.500
F 0.000 0.000 0.000

N(E_F), states/eV per atom: 0.715
VASP energy, eV/cell: -36.27